This record from the Alexandria database describes a relaxed YHf2Os2 crystal. The functional is PBE.

```
data_YHf2Os2
_chemical_formula_sum 'Y1 Hf2 Os2'
_space_group_name_H-M_alt 'P 1'
_space_group_IT_number 1
_cell_length_a 4.3555
_cell_length_b 4.3555
_cell_length_c 6.5065
_cell_angle_alpha 70.45
_cell_angle_beta 70.45
_cell_angle_gamma 90.00
loop_
_space_group_symop_operation_xyz
'x,y,z'
loop_
_atom_site_label
_atom_site_type_symbol
_atom_site_fract_x
_atom_site_fract_y
_atom_site_fract_z
Y1 Y 0.0000 0.0000 0.0000
Hf1 Hf 0.7500 0.2500 0.5000
Hf2 Hf 0.2500 0.7500 0.5000
Os1 Os 0.3896 0.3896 0.2207
Os2 Os 0.6104 0.6104 0.7793
```

Properties
- symmetry = I4/mmm (139)
- E_tot (eV per atom) = -10.120
- ΔE to the lowest computed polymorph (eV per atom) = 0.000
- magnetization (μB/cell) = 0.000

=====

This record from the Alexandria database describes a relaxed Y3HfOs crystal. The functional is PBE.

```
data_Y3HfOs
_chemical_formula_sum 'Y3 Hf1 Os1'
_space_group_name_H-M_alt 'P 1'
_space_group_IT_number 1
_cell_length_a 5.3223
_cell_length_b 5.3223
_cell_length_c 5.3223
_cell_angle_alpha 90.00
_cell_angle_beta 90.00
_cell_angle_gamma 90.00
loop_
_space_group_symop_operation_xyz
'x,y,z'
loop_
_atom_site_label
_atom_site_type_symbol
_atom_site_fract_x
_atom_site_fract_y
_atom_site_fract_z
Y1 Y 0.0000 0.5000 0.0000
Y2 Y 0.0000 0.0000 0.5000
Y3 Y 0.5000 0.0000 0.0000
Hf1 Hf 0.0000 0.0000 0.0000
Os1 Os 0.5000 0.5000 0.5000
```

Properties
- symmetry = Pm-3m (221)
- E_tot (eV per atom) = -6.541
- ΔE to the lowest computed polymorph (eV per atom) = 1.171
- magnetization (μB/cell) = 1.985

=====

This record from the Alexandria database describes a relaxed YHfZnOs crystal. The functional is PBE.

```
data_YHfZnOs
_chemical_formula_sum 'Y1 Hf1 Zn1 Os1'
_space_group_name_H-M_alt 'P 1'
_space_group_IT_number 1
_cell_length_a 4.7775
_cell_length_b 4.7775
_cell_length_c 4.7775
_cell_angle_alpha 60.00
_cell_angle_beta 60.00
_cell_angle_gamma 60.00
loop_
_space_group_symop_operation_xyz
'x,y,z'
loop_
_atom_site_label
_atom_site_type_symbol
_atom_site_fract_x
_atom_site_fract_y
_atom_site_fract_z
Y1 Y 0.7500 0.7500 0.7500
Hf1 Hf 0.2500 0.2500 0.2500
Zn1 Zn 0.0000 0.0000 0.0000
Os1 Os 0.5000 0.5000 0.5000
```

Properties
- symmetry = F-43m (216)
- E_tot (eV per atom) = -7.516
- magnetization (μB/cell) = 0.000

=====

This record from the Alexandria database describes a relaxed Hf6ZnOs2 crystal. The functional is PBE.

```
data_Hf6ZnOs2
_chemical_formula_sum 'Hf12 Zn2 Os4'
_space_group_name_H-M_alt 'P 1'
_space_group_IT_number 1
_cell_length_a 5.6411
_cell_length_b 7.3227
_cell_length_c 8.7789
_cell_angle_alpha 90.00
_cell_angle_beta 88.46
_cell_angle_gamma 90.00
loop_
_space_group_symop_operation_xyz
'x,y,z'
loop_
_atom_site_label
_atom_site_type_symbol
_atom_site_fract_x
_atom_site_fract_y
_atom_site_fract_z
Hf1 Hf 0.8197 0.9134 0.2384
Hf2 Hf 0.8331 0.6393 0.5510
Hf3 Hf 0.8471 0.7408 0.9182
Hf4 Hf 0.6529 0.2408 0.5818
Hf5 Hf 0.6669 0.1393 0.9490
Hf6 Hf 0.6803 0.4134 0.2616
Hf7 Hf 0.1803 0.0866 0.7616
Hf8 Hf 0.1669 0.3607 0.4490
Hf9 Hf 0.1529 0.2592 0.0818
Hf10 Hf 0.3471 0.7592 0.4182
Hf11 Hf 0.3331 0.8607 0.0510
Hf12 Hf 0.3197 0.5866 0.7384
Zn1 Zn 0.5000 0.5000 0.0000
Zn2 Zn 0.0000 0.0000 0.5000
Os1 Os 0.9144 0.4074 0.8022
Os2 Os 0.5856 0.9074 0.6978
Os3 Os 0.4144 0.0926 0.3022
Os4 Os 0.0856 0.5926 0.1978
```

Properties
- symmetry = P2_1/c (14)
- E_tot (eV per atom) = -9.409
- magnetization (μB/cell) = 0.000

=====

| no. | D(E_F) (states/eV/cell) |
| --- | --- |
| 1 | 4.93 |
| 2 | 8.95 |
| 3 | 1.66 |
| 4 | 13.58 |